Entry 1:
The following is a PBE calculation of a relaxed structure of CuReW, from the Alexandria database.

Energy above the lowest structure with this stoichiometry (eV per formula unit): 0.20
SG: I4mm
Formation energy (kJ/mol of atoms): 22

Structure (POSCAR):
```
CuReW
1.0
-1.630 -3.524 -2.710
2.856 -3.377 -1.690
-1.000 2.183 4.081
Cu Re W
1 1 1
Cartesian
1.226 -6.899 -4.398
0.822 -4.622 -2.946
0.406 -2.282 -1.455
```

Entry 2:
The following is a PBE calculation of a relaxed structure of CuReW, from the Alexandria database.

Energy above the lowest structure with this stoichiometry (eV per formula unit): 2.11
SG: F-43m
Formation energy (kJ/mol of atoms): 84

Structure (POSCAR):
```
CuReW
1.0
4.212 0.000 0.000
2.106 3.648 0.000
2.106 1.216 3.439
Cu Re W
1 1 1
Cartesian
4.212 2.432 1.720
6.319 3.648 2.580
0.000 0.000 0.000
```

Entry 3:
The following is a PBE calculation of a relaxed structure of Cu2ReW, from the Alexandria database.

SG: P2/m
Formation energy (kJ/mol of atoms): 30

Structure (POSCAR):
```
Cu2ReW
1.0
4.055 0.000 0.000
0.000 2.608 0.071
0.000 2.573 5.302
Cu Re W
2 1 1
Cartesian
0.000 2.608 0.080
0.000 2.591 2.677
2.027 1.295 1.343
2.027 3.886 4.030
```

Question: Which of these has the lowest formation energy?
Answer: number 1

Repeat the second record exactly.
The following is a PBE calculation of a relaxed structure of CuReW, from the Alexandria database.

Energy above the lowest structure with this stoichiometry (eV per formula unit): 2.11
SG: F-43m
Formation energy (kJ/mol of atoms): 84

Structure (POSCAR):
```
CuReW
1.0
4.212 0.000 0.000
2.106 3.648 0.000
2.106 1.216 3.439
Cu Re W
1 1 1
Cartesian
4.212 2.432 1.720
6.319 3.648 2.580
0.000 0.000 0.000
```

Question: Look up the formation energy of the third one.
Answer: 30 kJ/mol of atoms